# ThNbN2

A relaxed ThNbN2 crystal (PBE, the Alexandria database).

Computed properties:
uncorrected formation energy = -4.151 eV per formula unit
VASP energy = -38.29 eV/f.u.
crystal system = trigonal

a b c (Å): 3.1963 3.1963 18.5088
angles (deg): 90.00 90.00 120.00
Space group R3m (No. 160, hexagonal axes)
Symmetry-distinct sites (fractional):
Th: 0.0000 0.0000 0.0000 x3
Nb: 0.0000 0.0000 0.8283 x3
N: 0.0000 0.0000 0.4265 x3
N: 0.0000 0.0000 0.5663 x3